A geometry-optimized LiGe3S4 structure, computed with GGA-PBE.

## Properties
Its space group is Imm2 (44). The final energy is -71.44 eV/cell. Its energy relative to the elements, uncorrected is -3.444 eV per formula unit.

a b c (Å): 5.196 10.682 5.449
angles (deg): 90.00 90.00 90.00
Fractional coordinates of all 16 atoms:
1 Li 0.000 0.000 0.000
2 Li 0.500 0.500 0.500
3 Ge 0.000 0.252 0.514
4 Ge 0.000 0.500 0.029
5 Ge 0.000 0.748 0.514
6 Ge 0.500 0.000 0.529
7 Ge 0.500 0.248 0.014
8 Ge 0.500 0.752 0.014
9 S 0.000 0.000 0.483
10 S 0.000 0.254 0.969
11 S 0.000 0.500 0.470
12 S 0.000 0.746 0.969
13 S 0.500 0.000 0.970
14 S 0.500 0.246 0.469
15 S 0.500 0.500 0.983
16 S 0.500 0.754 0.469